InNiIrO6: relaxed, PBE with a Hubbard U.

## Properties
Its crystal system is trigonal. The uncorrected energy comes out at -5.668 eV per atom. The space group is P-31c (163).

Lattice parameters (Å, degrees): 5.3140 5.3140 8.5598 90.00 90.00 120.00
Element x y z (fractional)
O1 0.3627 0.0347 0.1237
O2 0.3627 0.3280 0.3763
O3 0.6720 0.6373 0.1237
O4 0.3280 0.9653 0.6237
O5 0.6373 0.9653 0.8763
O6 0.3280 0.3627 0.8763
O7 0.0347 0.3627 0.6237
O8 0.9653 0.3280 0.1237
O9 0.6720 0.0347 0.3763
O10 0.9653 0.6373 0.3763
O11 0.0347 0.6720 0.8763
O12 0.6373 0.6720 0.6237
In1 0.6667 0.3333 0.7500
In2 0.3333 0.6667 0.2500
Ir1 0.6667 0.3333 0.2500
Ir2 0.3333 0.6667 0.7500
Ni1 0.0000 0.0000 0.5000
Ni2 0.0000 0.0000 0.0000